Entry 1:
AcScZnCu: relaxed, PBE.

DOS at the Fermi energy ... 0.56 states/eV/atom
ΔE_f ... -107 meV/atom
Space group ... No. 216

a b c (Å): 5.125 5.125 5.125
angles (deg): 60.00 60.00 60.00
Fractional coordinates of all 4 atoms:
Ac 0.000 0.000 0.000
Cu 0.250 0.250 0.250
Sc 0.500 0.500 0.500
Zn 0.750 0.750 0.750



Entry 2:
Ac6CuSe5: relaxed, PBE.

DOS at the Fermi energy ... 0.57 states/eV/atom
Space group ... No. 12
Electronic total energy ... -5.4121 eV per atom

a b c (Å): 7.752 7.789 7.768
angles (deg): 59.91 80.31 70.38
Fractional coordinates of all 12 atoms:
Ac 0.755 0.081 0.327
Ac 0.752 0.756 0.000
Ac 0.245 0.919 0.673
Ac 0.245 0.592 0.327
Ac 0.248 0.244 0.000
Ac 0.755 0.408 0.673
Cu 0.000 0.000 0.000
Se 0.000 0.666 0.669
Se 0.500 0.172 0.656
Se 0.000 0.334 0.331
Se 0.500 0.828 0.344
Se 0.500 0.500 0.000



Entry 3:
Ac3Cu2Se6: relaxed, PBE.

DOS at the Fermi energy ... 0.20 states/eV/atom
Space group ... No. 139
Electronic total energy ... -5.1490 eV per atom

a b c (Å): 4.857 4.857 12.870
angles (deg): 100.88 100.88 90.00
Fractional coordinates of all 11 atoms:
Se 0.918 0.418 0.835
Se 0.296 0.296 0.591
Se 0.418 0.918 0.835
Se 0.582 0.082 0.165
Se 0.082 0.582 0.165
Se 0.704 0.704 0.409
Cu 0.602 0.602 0.204
Cu 0.398 0.398 0.796
Ac 0.171 0.171 0.343
Ac 0.000 0.000 0.000
Ac 0.829 0.829 0.657